The following is a PBE calculation of CrRe2Hg after structural relaxation, from the Alexandria database.

The formation energy from the elements comes out at 45.9 kJ per mole of atoms.

It has space group R3m (No. 160, hexagonal axes), with a = 2.8035 Å, b = 2.8035 Å, c = 27.7515 Å, α = 90.00°, β = 90.00° and γ = 120.00°. Symmetry generates all atoms from Cr at (0.0000, 0.0000, 0.0000), Re at (0.0000, 0.0000, 0.4871), Re at (0.0000, 0.0000, 0.7428) and Hg at (0.0000, 0.0000, 0.2471).

=====

The following is a PBE calculation of KCeTeO6 after structural relaxation, from the Alexandria database.

Its uncorrected formation energy is -1.738 eV per atom.

It has space group P312 (No. 149), with a = 5.7659 Å, b = 5.7659 Å, c = 5.7710 Å, α = 90.00°, β = 90.00° and γ = 120.00°. Symmetry generates all atoms from K at (0.0000, 0.0000, 0.0000), Ce at (0.3333, 0.6667, 0.5000), Te at (0.6667, 0.3333, 0.5000) and O at (0.4006, 0.0406, 0.6900).

=====

The following is a PBE calculation of Tm5AlFe2 after structural relaxation, from the Alexandria database.

The formation energy from the elements comes out at -12.2 kJ per mole of atoms.

It has space group I4/mcm (No. 140), with a = 7.2577 Å, b = 7.2577 Å, c = 14.0635 Å, α = 90.00°, β = 90.00° and γ = 90.00°. Symmetry generates all atoms from Tm at (0.0000, 0.0000, 0.0000), Tm at (0.1764, 0.3236, 0.1353), Al at (0.0000, 0.0000, 0.2500) and Fe at (0.1071, 0.3929, 0.5000).

=====

The following is a PBE calculation of La8NdMg2 after structural relaxation, from the Alexandria database.

As for the energy above the most stable polymorph in this dataset: 0.989 eV/f.u. The formation energy from the elements comes out at 8.5 kJ per mole of atoms.

It has space group C2/m (No. 12), with a = 9.1168 Å, b = 16.3878 Å, c = 6.0434 Å, α = 90.00°, β = 121.41° and γ = 90.00°. Symmetry generates all atoms from La at (0.0000, 0.2080, 0.0000), La at (0.0812, 0.5000, 0.7944), La at (0.2161, 0.1197, 0.6656), Nd at (0.0000, 0.0000, 0.0000) and Mg at (0.0000, 0.3096, 0.5000).

=====

The following is a PBE calculation of Mg6MoW after structural relaxation, from the Alexandria database.

As for the energy above the most stable polymorph in this dataset: 0.000 eV/f.u. The formation energy from the elements comes out at 26.7 kJ per mole of atoms.

It has space group Amm2 (No. 38), with a = 4.7358 Å, b = 5.9442 Å, c = 10.8572 Å, α = 90.00°, β = 90.00° and γ = 90.00°. Symmetry generates all atoms from Mg at (0.0000, 0.0000, 0.0000), Mg at (0.0000, 0.2402, 0.2460), Mg at (0.5000, 0.0000, 0.8395), Mg at (0.5000, 0.2413, 0.5945), Mo at (0.0000, 0.0000, 0.4799) and W at (0.5000, 0.0000, 0.3587).

=====

The following is a PBE calculation of HfTlAu after structural relaxation, from the Alexandria database.

The formation energy from the elements comes out at -8.8 kJ per mole of atoms.

It has space group P1 (No. 1), with a = 3.3485 Å, b = 4.8610 Å, c = 7.9810 Å, α = 89.92°, β = 89.51° and γ = 90.00°. Symmetry generates all atoms from Hf at (0.0000, 0.0000, 0.0000), Hf at (0.0034, 0.5006, 0.6167), Tl at (0.4768, 0.9988, 0.3536), Tl at (0.9761, 0.4992, 0.2313), Au at (0.4919, 0.5003, 0.9115) and Au at (0.5112, 0.0006, 0.7067).

=====

The following is a PBE calculation of RbFe2AsCl after structural relaxation, from the Alexandria database.

Its uncorrected formation energy is 1.140 eV per atom.

It has space group P4/mmm (No. 123), with a = 4.3403 Å, b = 4.3403 Å, c = 5.6923 Å, α = 90.00°, β = 90.00° and γ = 90.00°. Symmetry generates all atoms from Rb at (0.0000, 0.0000, 0.0000), Fe at (0.0000, 0.5000, 0.5000), As at (0.5000, 0.5000, 0.0000) and Cl at (0.0000, 0.0000, 0.5000).

=====

The following is a PBE calculation of PrLuMgHg after structural relaxation, from the Alexandria database.

The formation energy from the elements comes out at -23.6 kJ per mole of atoms.

It has space group F-43m (No. 216), with a = 7.5704 Å, b = 7.5704 Å, c = 7.5704 Å, α = 90.00°, β = 90.00° and γ = 90.00°. Symmetry generates all atoms from Pr at (0.0000, 0.0000, 0.0000), Lu at (0.0000, 0.0000, 0.5000), Mg at (0.2500, 0.2500, 0.2500) and Hg at (0.2500, 0.2500, 0.7500).

=====

The following is a PBE calculation of Li2TcAg after structural relaxation, from the Alexandria database.

As for the energy above the most stable polymorph in this dataset: 0.434 eV/f.u. The formation energy from the elements comes out at 21.3 kJ per mole of atoms.

It has space group Cmm2 (No. 35), with a = 3.4317 Å, b = 3.9912 Å, c = 9.3126 Å, α = 90.00°, β = 90.00° and γ = 90.00°. Symmetry generates all atoms from Li at (0.0000, 0.0000, 0.0000), Li at (0.0000, 0.5000, 0.2820), Tc at (0.0000, 0.0000, 0.5130) and Ag at (0.0000, 0.5000, 0.7674).

=====

The following is a PBE calculation of ScRh2 after structural relaxation, from the Alexandria database.

The formation energy from the elements comes out at -66.8 kJ per mole of atoms.

It has space group Pnma (No. 62), with a = 5.5067 Å, b = 4.1287 Å, c = 8.3322 Å, α = 90.00°, β = 90.00° and γ = 90.00°. Symmetry generates all atoms from Sc at (0.1645, 0.2500, 0.1038), Rh at (0.0817, 0.2500, 0.7575) and Rh at (0.1511, 0.2500, 0.4275).

=====

The following is a PBE calculation of BRuRh after structural relaxation, from the Alexandria database.

The formation energy from the elements comes out at -12.5 kJ per mole of atoms.

It has space group Cm (No. 8), with a = 10.6746 Å, b = 2.8284 Å, c = 4.6699 Å, α = 90.00°, β = 90.50° and γ = 90.00°. Symmetry generates all atoms from B at (0.0000, 0.0000, 0.0000), B at (0.1461, 0.0000, 0.5155), Ru at (0.0038, 0.5000, 0.6572), Ru at (0.3699, 0.0000, 0.1668), Rh at (0.1428, 0.5000, 0.1634) and Rh at (0.2823, 0.5000, 0.6662).

=====

The following is a PBE calculation of Li2ScGa3 after structural relaxation, from the Alexandria database.

As for the energy above the most stable polymorph in this dataset: 0.000 eV/f.u. The formation energy from the elements comes out at -36.8 kJ per mole of atoms.

It has space group P4/mmm (No. 123), with a = 3.2382 Å, b = 3.2382 Å, c = 9.4256 Å, α = 90.00°, β = 90.00° and γ = 90.00°. Symmetry generates all atoms from Li at (0.0000, 0.0000, 0.1555), Sc at (0.0000, 0.0000, 0.5000), Ga at (0.5000, 0.5000, 0.0000) and Ga at (0.5000, 0.5000, 0.3054).

=====

The following is a PBE calculation of CsY3Ga after structural relaxation, from the Alexandria database.

As for the energy above the most stable polymorph in this dataset: 5.280 eV/f.u. The formation energy from the elements comes out at 127.9 kJ per mole of atoms.

It has space group Pm-3m (No. 221), with a = 5.6257 Å, b = 5.6257 Å, c = 5.6257 Å, α = 90.00°, β = 90.00° and γ = 90.00°. Symmetry generates all atoms from Cs at (0.0000, 0.0000, 0.0000), Y at (0.0000, 0.0000, 0.5000) and Ga at (0.5000, 0.5000, 0.5000).

=====

The following is a PBE calculation of Ce2AgH after structural relaxation, from the Alexandria database.

As for the energy above the most stable polymorph in this dataset: 0.583 eV/f.u.

It has space group R-3m (No. 166, hexagonal axes), with a = 3.0802 Å, b = 3.0802 Å, c = 28.4401 Å, α = 90.00°, β = 90.00° and γ = 120.00°. Symmetry generates all atoms from Ce at (0.0000, 0.0000, 0.1099), Ag at (0.0000, 0.0000, 0.0000) and H at (0.0000, 0.0000, 0.5000).

=====

The following is a PBE calculation of Pm2ErAg after structural relaxation, from the Alexandria database.

As for the energy above the most stable polymorph in this dataset: 0.000 eV/f.u. The formation energy from the elements comes out at -11.9 kJ per mole of atoms.

It has space group I4/mmm (No. 139), with a = 5.1749 Å, b = 5.1749 Å, c = 17.3911 Å, α = 90.00°, β = 90.00° and γ = 90.00°. Symmetry generates all atoms from Pm at (0.0000, 0.0000, 0.1402), Pm at (0.0000, 0.5000, 0.0000), Er at (0.0000, 0.0000, 0.3511) and Ag at (0.0000, 0.5000, 0.2500).

=====

The following is a PBE calculation of CuNi2W after structural relaxation, from the Alexandria database.

As for the energy above the most stable polymorph in this dataset: 0.000 eV/f.u. The formation energy from the elements comes out at 1.2 kJ per mole of atoms.

It has space group P4/mmm (No. 123), with a = 2.6793 Å, b = 2.6793 Å, c = 6.9469 Å, α = 90.00°, β = 90.00° and γ = 90.00°. Symmetry generates all atoms from Cu at (0.0000, 0.0000, 0.0000), Ni at (0.5000, 0.5000, 0.2393) and W at (0.0000, 0.0000, 0.5000).

=====

| no. | theoretical density (Mg/m³) |
| --- | --- |
| 1 | 16.5 |
| 2 | 4.0 |
| 3 | 8.8 |
| 4 | 5.6 |
| 5 | 4.6 |
| 6 | 14.8 |
| 7 | 4.8 |
| 8 | 8.3 |
| 9 | 5.7 |
| 10 | 8.8 |
| 11 | 10.1 |
| 12 | 4.5 |
| 13 | 4.4 |
| 14 | 8.3 |
| 15 | 8.1 |
| 16 | 12.1 |